Compound: PmScB12
Source: the Alexandria database
Functional: PBE
Structure: optimized geometry

Results
- Formation energy: -32 kJ/mol of atoms

Lattice parameters (Å, degrees): 4.101 4.101 8.195 90.00 90.00 90.00
Positions (direct):
Pm 0.000 0.000 0.500
Sc 0.000 0.000 0.000
B 0.199 0.500 0.248
B 0.199 0.500 0.752
B 0.500 0.500 0.399
B 0.500 0.500 0.901
B 0.500 0.199 0.248
B 0.500 0.199 0.752
B 0.500 0.500 0.099
B 0.500 0.500 0.601
B 0.500 0.801 0.248
B 0.500 0.801 0.752
B 0.801 0.500 0.248
B 0.801 0.500 0.752